No. 1
{"formula": "Al2TcTe", "functional": "meta-GGA SCAN", "state": "PBEsol geometry", "cell": [[3.344, 0.000, 0.000], [0.000, 3.344, 0.000], [0.000, 0.000, 6.037]], "species": ["Al", "Al", "Tc", "Te"], "frac_coords": [[0.000, 0.000, 0.210], [0.000, 0.000, 0.790], [0.500, 0.500, 0.000], [0.500, 0.500, 0.500]], "sg": "P4/mmm (123)", "raw_formation_energy_ev_per_fu": -0.36}

***

No. 2
{"formula": "YAlTc2Te", "functional": "meta-GGA SCAN", "state": "PBEsol geometry", "cell": [[4.878, 0.000, 0.000], [0.000, 4.878, 0.000], [0.000, 0.000, 5.612]], "species": ["Y", "Al", "Tc", "Tc", "Te"], "frac_coords": [[0.000, 0.000, 0.000], [0.500, 0.500, 0.500], [0.000, 0.500, 0.000], [0.500, 0.000, 0.000], [0.000, 0.000, 0.500]], "sg": "P4/mmm (123)", "raw_formation_energy_ev_per_fu": 8.95}

***

No. 3
{"formula": "Al2TlTc", "functional": "meta-GGA SCAN", "state": "PBEsol geometry", "cell": [[-2.004, 2.004, 4.053], [2.004, -2.004, 4.053], [2.004, 2.004, -4.053]], "species": ["Al", "Al", "Tl", "Tc"], "frac_coords": [[0.250, 0.750, 0.500], [0.750, 0.250, 0.500], [0.000, 0.000, 0.000], [0.500, 0.500, 0.000]], "sg": "I4/mmm (139)", "e_form_kj_per_mol_fu": 42}